InCuSiNi | PBE | relaxed

Excess energy over the best structure of this formula in the dataset: 0.0000 eV/atom
Raw total energy: -4.230 eV/atom

a b c (Å): 6.1416 6.1416 6.1416
angles (deg): 90.00 90.00 90.00
With the nearest neighbours (Å) after each atom.
Space group F-43m (No. 216)
Inequivalent atoms, fractional coordinates:
In1 0.0000 0.0000 0.0000 x4  4 Ni 2.66, 4 Cu 2.66
Cu1 0.2500 0.2500 0.7500 x4  4 In 2.66, 4 Si 2.66
Si1 0.0000 0.0000 0.5000 x4  4 Cu 2.66, 4 Ni 2.66
Ni1 0.2500 0.2500 0.2500 x4  4 In 2.66, 4 Si 2.66